No. 1
Tc2AsAu after structural relaxation, computed with PBE.

Cell lengths 9.936, 9.936, 9.936 Å; angles 157.67, 157.67, 31.78 degrees
Fractional coordinates of all 8 atoms:
Tc1 0.054 0.625 0.929
Tc2 0.375 0.304 0.429
Tc3 0.696 0.125 0.071
Tc4 0.875 0.946 0.571
As1 0.000 0.000 0.000
As2 0.750 0.250 0.500
Au1 0.250 0.750 0.500
Au2 0.500 0.500 0.000

Computed properties:
spin magnetization	0.000	μB per formula unit
raw total energy	-6.6185	eV/atom
space group	I-42d
formation energy	546	meV per atom

=====

No. 2
KHf2Ir after structural relaxation, computed with PBE.

Cell lengths 6.533, 6.533, 6.533 Å; angles 103.96, 103.96, 121.17 degrees
Fractional coordinates of all 8 atoms:
K1 0.000 0.000 0.000
K2 0.750 0.250 0.500
Hf1 0.200 0.625 0.075
Hf2 0.375 0.450 0.575
Hf3 0.550 0.125 0.925
Hf4 0.875 0.800 0.425
Ir1 0.250 0.750 0.500
Ir2 0.500 0.500 0.000

Computed properties:
spin magnetization	0.000	μB per formula unit
raw total energy	-6.9754	eV/atom
space group	I-42d
formation energy	491	meV per atom
offset from the most stable computed form	0.089	eV/atom

=====

No. 3
NaCaSbO3 after structural relaxation, computed with PBE.

Cell lengths 6.451, 3.394, 9.823 Å; angles 90.00, 95.18, 90.00 degrees
Fractional coordinates of all 12 atoms:
Na1 0.089 0.250 0.351
Na2 0.911 0.750 0.649
Ca1 0.435 0.750 0.630
Ca2 0.565 0.250 0.370
Sb1 0.263 0.250 0.918
Sb2 0.737 0.750 0.082
O1 0.190 0.250 0.721
O2 0.337 0.750 0.402
O3 0.446 0.750 0.898
O4 0.554 0.250 0.102
O5 0.663 0.250 0.598
O6 0.810 0.750 0.279

Computed properties:
spin magnetization	0.029	μB per formula unit
raw total energy	-5.5637	eV/atom
formation energy from raw total energies	-1844	meV per atom
space group	P2_1/m

=====

No. 4
Zr2CuPd2 after structural relaxation, computed with PBE.

Cell lengths 7.332, 7.332, 3.455 Å; angles 90.00, 90.00, 90.00 degrees
Fractional coordinates of all 10 atoms:
Zr1 0.174 0.326 0.000
Zr2 0.326 0.826 0.000
Zr3 0.674 0.174 0.000
Zr4 0.826 0.674 0.000
Cu1 0.000 0.000 0.500
Cu2 0.500 0.500 0.500
Pd1 0.131 0.631 0.500
Pd2 0.369 0.131 0.500
Pd3 0.631 0.869 0.500
Pd4 0.869 0.369 0.500

Computed properties:
spin magnetization	0.000	μB per formula unit
raw total energy	-6.7351	eV/atom
space group	P4/mbm
formation energy	-419	meV per atom
offset from the most stable computed form	0.000	eV/atom

=====

No. 5
Sr2LiHPd after structural relaxation, computed with PBE.

Cell lengths 5.232, 5.232, 4.081 Å; angles 90.00, 90.00, 90.00 degrees
Fractional coordinates of all 5 atoms:
Sr1 0.000 0.500 0.000
Sr2 0.500 0.000 0.000
Li1 0.000 0.000 0.500
H1 0.000 0.000 0.000
Pd1 0.500 0.500 0.500

Computed properties:
spin magnetization	0.000	μB per formula unit
raw total energy	-3.1228	eV/atom
space group	P4/mmm
offset from the most stable computed form	0.032	eV/atom

=====

No. 6
Rb2Ba2NbO6 after structural relaxation, computed with PBE.

Cell lengths 6.431, 6.431, 6.919 Å; angles 97.86, 97.86, 118.49 degrees
Fractional coordinates of all 11 atoms:
Rb1 0.157 0.843 0.000
Rb2 0.843 0.157 0.000
Ba1 0.339 0.661 0.500
Ba2 0.661 0.339 0.500
Nb1 0.000 0.000 0.500
O1 0.043 0.311 0.670
O2 0.204 0.204 0.323
O3 0.311 0.043 0.670
O4 0.689 0.957 0.330
O5 0.796 0.796 0.677
O6 0.957 0.689 0.330

Computed properties:
spin magnetization	1.101	μB per formula unit
raw total energy	-6.2887	eV/atom
formation energy from raw total energies	-2143	meV per atom
space group	C2/m

=====

No. 7
WBr5N2 after structural relaxation, computed with PBE.

Cell lengths 7.381, 7.356, 8.755 Å; angles 53.69, 53.43, 72.89 degrees
Fractional coordinates of all 8 atoms:
W1 0.000 0.000 0.000
Br1 0.013 0.680 0.987
Br2 0.200 0.802 0.198
Br3 0.301 0.301 0.699
Br4 0.680 0.013 0.320
Br5 0.802 0.200 0.800
N1 0.354 0.354 0.146
N2 0.854 0.854 0.646

Computed properties:
spin magnetization	4.999	μB per formula unit
raw total energy	-3.7751	eV/atom
formation energy from raw total energies	971	meV per atom
space group	Fmm2

=====

No. 8
MgTiPb after structural relaxation, computed with PBE.

Cell lengths 5.395, 5.395, 7.988 Å; angles 98.63, 98.63, 35.55 degrees
Fractional coordinates of all 6 atoms:
Mg1 0.157 0.157 0.115
Mg2 0.843 0.843 0.885
Ti1 0.357 0.357 0.565
Ti2 0.643 0.643 0.435
Pb1 0.097 0.097 0.732
Pb2 0.903 0.903 0.268

Computed properties:
spin magnetization	0.001	μB per formula unit
raw total energy	-4.3412	eV/atom
space group	C2/m
formation energy	58	meV per atom

=====

No. 9
AcLuCuAg after structural relaxation, computed with PBE.

Cell lengths 5.254, 5.254, 5.254 Å; angles 60.00, 60.00, 60.00 degrees
Fractional coordinates of all 4 atoms:
Ac1 0.000 0.000 0.000
Lu1 0.500 0.500 0.500
Cu1 0.750 0.750 0.750
Ag1 0.250 0.250 0.250

Computed properties:
spin magnetization	0.000	μB per formula unit
raw total energy	-4.0424	eV/atom
space group	F-43m
formation energy	-148	meV per atom

=====

No. 10
BaTbAg after structural relaxation, computed with PBE.

Cell lengths 7.409, 7.409, 7.409 Å; angles 149.55, 149.55, 43.61 degrees
Fractional coordinates of all 3 atoms:
Ba1 0.000 0.000 0.000
Tb1 0.271 0.271 0.000
Ag1 0.673 0.673 0.000

Computed properties:
spin magnetization	0.000	μB per formula unit
raw total energy	-3.2126	eV/atom
space group	I4mm
formation energy	-78	meV per atom

=====

No. 11
Li2CdSe after structural relaxation, computed with PBE.

Cell lengths 6.911, 6.911, 6.911 Å; angles 151.49, 146.94, 44.21 degrees
Fractional coordinates of all 4 atoms:
Li1 0.000 0.000 0.000
Li2 0.673 0.173 0.500
Cd1 0.362 0.362 0.000
Se1 0.153 0.653 0.500

Computed properties:
spin magnetization	0.000	μB per formula unit
raw total energy	-2.6453	eV/atom
formation energy from raw total energies	-588	meV per atom
space group	Imm2
offset from the most stable computed form	0.108	eV/atom

=====

No. 12
RbHgS4 after structural relaxation, computed with PBE.

Cell lengths 7.669, 7.669, 7.039 Å; angles 100.84, 100.84, 109.95 degrees
Fractional coordinates of all 12 atoms:
Rb1 0.106 0.894 0.750
Rb2 0.894 0.106 0.250
Hg1 0.327 0.673 0.250
Hg2 0.673 0.327 0.750
S1 0.036 0.423 0.716
S2 0.191 0.374 0.951
S3 0.374 0.191 0.451
S4 0.423 0.036 0.216
S5 0.577 0.964 0.784
S6 0.626 0.809 0.549
S7 0.809 0.626 0.049
S8 0.964 0.577 0.284

Computed properties:
spin magnetization	0.974	μB per formula unit
raw total energy	-3.2334	eV/atom
formation energy from raw total energies	-270	meV per atom
space group	C2/c

=====

> The lowest raw total energy belongs to which entry?

KHf2Ir

=====

> The highest spin magnetization belongs to which entry?

WBr5N2